Version a
First-principles (PBE) data for a relaxed structure of LiIN2Cl, as listed in Alexandria via LeMat-Bulk.

Computed properties:
size of the total moment: 0.95 μB/cell

```
LiIN2Cl
1.0
3.815 0.000 0.000
0.000 3.815 0.000
0.000 0.000 8.176
Li I N Cl
1 1 2 1
direct
0.000 0.000 0.000 Li
0.500 0.500 0.000 I
0.000 0.500 0.500 N
0.500 0.000 0.500 N
0.500 0.500 0.500 Cl
```

Version b
First-principles (PBE) data for a relaxed structure of LiIN2Cl, as listed in Alexandria via LeMat-Bulk.

Computed properties:
size of the total moment: 5.18 μB/cell

```
LiIN2Cl
1.0
4.259 0.000 0.000
0.000 4.259 0.000
0.000 0.000 6.201
Li I N Cl
1 1 2 1
direct
0.000 0.000 0.000 Li
0.000 0.000 0.500 I
0.000 0.500 0.000 N
0.500 0.000 0.000 N
0.500 0.500 0.500 Cl
```

Which structure loses on stability? version b does.

Version a
First-principles (PBE) data for a relaxed structure of LiP2ICl, as listed in Alexandria via LeMat-Bulk.

Computed properties:
size of the total moment: 0.11 μB/cell

```
LiP2ICl
1.0
5.079 0.000 0.000
0.000 5.079 0.000
0.000 0.000 6.913
Li P I Cl
1 2 1 1
direct
0.000 0.000 0.000 Li
0.000 0.500 0.500 P
0.500 0.000 0.500 P
0.500 0.500 0.500 I
0.500 0.500 0.000 Cl
```

Version b
First-principles (PBE) data for a relaxed structure of LiP2ICl, as listed in Alexandria via LeMat-Bulk.

Computed properties:
size of the total moment: 0.00 μB/cell

```
LiP2ICl
1.0
4.820 0.000 0.000
0.000 4.820 0.000
0.000 0.000 4.403
Li P I Cl
1 2 1 1
direct
0.000 0.000 0.000 Li
0.000 0.500 0.000 P
0.500 0.000 0.000 P
0.500 0.500 0.500 I
0.000 0.000 0.500 Cl
```

Which structure loses on stability? version a does.

Version a
First-principles (PBE) data for a relaxed structure of LiS2ICl, as listed in Alexandria via LeMat-Bulk.

Computed properties:
size of the total moment: 0.00 μB/cell

```
LiS2ICl
1.0
5.148 0.000 0.000
0.000 5.148 0.000
0.000 0.000 5.547
Li S I Cl
1 2 1 1
direct
0.000 0.000 0.000 Li
0.000 0.500 0.500 S
0.500 0.000 0.500 S
0.500 0.500 0.500 I
0.500 0.500 0.000 Cl
```

Version b
First-principles (PBE) data for a relaxed structure of LiS2ICl, as listed in Alexandria via LeMat-Bulk.

Computed properties:
size of the total moment: 0.00 μB/cell

```
LiS2ICl
1.0
4.793 0.000 0.000
0.000 4.793 0.000
0.000 0.000 4.446
Li S I Cl
1 2 1 1
direct
0.000 0.000 0.000 Li
0.000 0.500 0.000 S
0.500 0.000 0.000 S
0.500 0.500 0.500 I
0.000 0.000 0.500 Cl
```

Which structure loses on stability? version b does.

Version a
First-principles (PBE) data for a relaxed structure of LiSb2ICl, as listed in Alexandria via LeMat-Bulk.

Computed properties:
size of the total moment: 0.00 μB/cell

```
LiSb2ICl
1.0
5.133 0.000 0.000
0.000 5.133 0.000
0.000 0.000 5.199
Li Sb I Cl
1 2 1 1
direct
0.000 0.000 0.000 Li
0.000 0.500 0.000 Sb
0.500 0.000 0.000 Sb
0.000 0.000 0.500 I
0.500 0.500 0.500 Cl
```

Version b
First-principles (PBE) data for a relaxed structure of LiSb2ICl, as listed in Alexandria via LeMat-Bulk.

Computed properties:
size of the total moment: 0.00 μB/cell

```
LiSb2ICl
1.0
5.148 0.000 0.000
0.000 5.148 0.000
0.000 0.000 7.594
Li Sb I Cl
1 2 1 1
direct
0.000 0.000 0.000 Li
0.000 0.500 0.500 Sb
0.500 0.000 0.500 Sb
0.500 0.500 0.000 I
0.500 0.500 0.500 Cl
```

Which structure loses on stability? version b does.

Version a
First-principles (PBE) data for a relaxed structure of LiSbI2Cl, as listed in Alexandria via LeMat-Bulk.

Computed properties:
size of the total moment: 0.00 μB/cell

```
LiSbI2Cl
1.0
5.165 0.000 0.000
0.000 5.165 0.000
0.000 0.000 5.517
Li Sb I Cl
1 1 2 1
direct
0.000 0.000 0.000 Li
0.000 0.000 0.500 Sb
0.000 0.500 0.000 I
0.500 0.000 0.000 I
0.500 0.500 0.500 Cl
```

Version b
First-principles (PBE) data for a relaxed structure of LiSbI2Cl, as listed in Alexandria via LeMat-Bulk.

Computed properties:
size of the total moment: 0.00 μB/cell

```
LiSbI2Cl
1.0
6.835 0.000 0.000
0.000 6.835 0.000
0.000 0.000 4.916
Li Sb I Cl
1 1 2 1
direct
0.000 0.000 0.000 Li
0.500 0.500 0.000 Sb
0.000 0.500 0.500 I
0.500 0.000 0.500 I
0.500 0.500 0.500 Cl
```

Which structure loses on stability? version b does.

Version a
First-principles (PBE) data for a relaxed structure of LiTe2ICl, as listed in Alexandria via LeMat-Bulk.

Computed properties:
size of the total moment: 0.00 μB/cell

```
LiTe2ICl
1.0
5.173 0.000 0.000
0.000 5.173 0.000
0.000 0.000 5.189
Li Te I Cl
1 2 1 1
direct
0.000 0.000 0.000 Li
0.000 0.500 0.000 Te
0.500 0.000 0.000 Te
0.000 0.000 0.500 I
0.500 0.500 0.500 Cl
```

Version b
First-principles (PBE) data for a relaxed structure of LiTe2ICl, as listed in Alexandria via LeMat-Bulk.

Computed properties:
size of the total moment: 1.54 μB/cell

```
LiTe2ICl
1.0
5.233 0.000 0.000
0.000 5.233 0.000
0.000 0.000 7.786
Li Te I Cl
1 2 1 1
direct
0.000 0.000 0.000 Li
0.000 0.500 0.500 Te
0.500 0.000 0.500 Te
0.500 0.500 0.000 I
0.500 0.500 0.500 Cl
```

Which structure loses on stability? version b does.